DFT (PBE) results for a geometry-optimized YTl2W structure.

The calculation puts the density at 12.43 g/cm³. For the density of states at the Fermi level, the calculation gives 4.0 states/eV/cell. The value obtained for the energy relative to the elements is 0.568 eV/atom. For the energy above the lowest structure with this stoichiometry, the calculation gives 0.101 eV per atom. Its space-group type is No. 225.

Cell lengths 5.050, 5.050, 5.050 Å; angles 60.00, 60.00, 60.00 degrees
Site moments in Bohr magnetons follow the coordinates.
Positions (direct):
Y: 0.000 0.000 0.000  0.01
Tl: 0.250 0.250 0.250  0.02
Tl: 0.750 0.750 0.750  0.02
W: 0.500 0.500 0.500  1.56

***

DFT (PBE) results for a geometry-optimized YTlW2 structure.

The calculation puts the density at 13.56 g/cm³. For the density of states at the Fermi level, the calculation gives 4.9 states/eV/cell. The value obtained for the energy relative to the elements is 0.909 eV/atom. For the energy above the lowest structure with this stoichiometry, the calculation gives 0.612 eV per atom. Its space-group type is No. 65.

Cell lengths 2.943, 2.943, 9.808 Å; angles 90.00, 90.00, 107.66 degrees
Positions (direct):
Tl: 0.500 0.500 0.750
W: 0.000 0.000 0.992
W: 0.000 0.000 0.508
Y: 0.500 0.500 0.250

***

DFT (PBE) results for a geometry-optimized YTl2W structure.

The calculation puts the density at 12.27 g/cm³. For the density of states at the Fermi level, the calculation gives 2.3 states/eV/cell. The value obtained for the energy relative to the elements is 0.469 eV/atom. For the energy above the lowest structure with this stoichiometry, the calculation gives 0.002 eV per atom. Its space-group type is No. 12.

Cell lengths 5.347, 5.347, 5.739 Å; angles 80.15, 80.15, 34.85 degrees
Positions (direct):
Tl: 0.009 0.009 0.979
Tl: 0.491 0.491 0.521
W: 0.750 0.750 0.750
Y: 0.250 0.250 0.250

***

DFT (PBE) results for a geometry-optimized YTlW3 structure.

The calculation puts the density at 11.92 g/cm³. For the density of states at the Fermi level, the calculation gives 4.5 states/eV/cell. The value obtained for the energy relative to the elements is 2.975 eV/atom. For the energy above the lowest structure with this stoichiometry, the calculation gives 0.413 eV per atom. Its space-group type is No. 221.

Cell lengths 4.901, 4.901, 4.901 Å; angles 90.00, 90.00, 90.00 degrees
Positions (direct):
Y: 0.000 0.000 0.000
Tl: 0.500 0.500 0.500
W: 0.000 0.500 0.000
W: 0.000 0.000 0.500
W: 0.500 0.000 0.000

***

DFT (PBE) results for a geometry-optimized YTlW2 structure.

The calculation puts the density at 12.12 g/cm³. For the density of states at the Fermi level, the calculation gives 7.4 states/eV/cell. The value obtained for the energy relative to the elements is 1.386 eV/atom. For the energy above the lowest structure with this stoichiometry, the calculation gives 1.089 eV per atom. Its space-group type is No. 122.

Cell lengths 8.057, 8.057, 6.344 Å; angles 50.58, 50.58, 90.00 degrees
Positions (direct):
Y: 0.500 0.500 0.000
Y: 0.250 0.750 0.500
Tl: 0.000 0.000 0.000
Tl: 0.750 0.250 0.500
W: 0.654 0.125 0.250
W: 0.096 0.625 0.250
W: 0.375 0.346 0.750
W: 0.875 0.904 0.750

***

DFT (PBE) results for a geometry-optimized YTlW structure.

The calculation puts the density at 9.28 g/cm³. For the density of states at the Fermi level, the calculation gives 3.0 states/eV/cell. The value obtained for the energy relative to the elements is 1.436 eV/atom. For the energy above the lowest structure with this stoichiometry, the calculation gives 0.886 eV per atom. Its space-group type is No. 216.

Cell lengths 4.942, 4.942, 4.942 Å; angles 60.00, 60.00, 60.00 degrees
Site moments in Bohr magnetons follow the coordinates.
Positions (direct):
Tl: 0.000 0.000 0.000  -0.06
W: 0.500 0.500 0.500  1.99
Y: 0.750 0.750 0.750  0.17

***

DFT (PBE) results for a geometry-optimized YTlW2 structure.

The calculation puts the density at 13.45 g/cm³. For the density of states at the Fermi level, the calculation gives 3.4 states/eV/cell. The value obtained for the energy relative to the elements is 0.930 eV/atom. For the energy above the lowest structure with this stoichiometry, the calculation gives 0.633 eV per atom. Its space-group type is No. 123.

Cell lengths 2.906, 2.906, 9.663 Å; angles 90.00, 90.00, 90.00 degrees
Positions (direct):
Tl: 0.500 0.500 0.750
W: 0.000 0.000 0.992
W: 0.000 0.000 0.508
Y: 0.500 0.500 0.250

***

DFT (PBE) results for a geometry-optimized YTlW2 structure.

The calculation puts the density at 13.15 g/cm³. For the density of states at the Fermi level, the calculation gives 4.4 states/eV/cell. The value obtained for the energy relative to the elements is 0.911 eV/atom. For the energy above the lowest structure with this stoichiometry, the calculation gives 0.613 eV per atom. Its space-group type is No. 47.

Cell lengths 2.908, 4.667, 6.151 Å; angles 90.00, 90.00, 90.00 degrees
Positions (direct):
Tl: 0.500 0.500 0.750
W: 0.000 0.000 0.962
W: 0.000 0.000 0.538
Y: 0.500 0.500 0.250